(1)
A plane-wave DFT calculation with GGA+U was carried out for an optimized crystal structure of K3CdW2O8.

Cell lengths 6.2614, 6.2614, 7.9942 Å; angles 90.00, 90.00, 120.00 degrees
Atoms (fractional coordinates):
K 0.0000 0.0000 0.0000
K 0.3333 0.6667 0.6606
K 0.6667 0.3333 0.3394
Cd 0.0000 0.0000 0.5000
W 0.3333 0.6667 0.2046
W 0.6667 0.3333 0.7954
O 0.1760 0.3520 0.2875
O 0.1760 0.8240 0.2875
O 0.3333 0.6667 0.9792
O 0.3520 0.1760 0.7125
O 0.6480 0.8240 0.2875
O 0.6667 0.3333 0.0208
O 0.8240 0.1760 0.7125
O 0.8240 0.6480 0.7125

## Properties
Total energy = -5.95 eV per atom

=====

(2)
A plane-wave DFT calculation with GGA+U was carried out for an optimized crystal structure of K2Cd2WO6.

Cell lengths 5.7207, 5.7207, 6.6030 Å; angles 99.68, 99.68, 117.99 degrees
Atoms (fractional coordinates):
K 0.1770 0.8230 0.0000
K 0.8230 0.1770 0.0000
Cd 0.3369 0.6631 0.5000
Cd 0.6631 0.3369 0.5000
W 0.0000 0.0000 0.5000
O 0.0570 0.3448 0.6815
O 0.2152 0.2152 0.3230
O 0.3448 0.0570 0.6815
O 0.6552 0.9430 0.3185
O 0.7848 0.7848 0.6770
O 0.9430 0.6552 0.3185

## Properties
Total energy = -5.32 eV per atom

=====

(3)
A plane-wave DFT calculation with GGA+U was carried out for an optimized crystal structure of K3CdW2O9.

Cell lengths 5.8291, 5.8291, 7.3007 Å; angles 90.00, 90.00, 120.00 degrees
Atoms (fractional coordinates):
K 0.0000 0.0000 0.0000
K 0.3333 0.6667 0.6626
K 0.6667 0.3333 0.3374
Cd 0.0000 0.0000 0.5000
W 0.3333 0.6667 0.1666
W 0.6667 0.3333 0.8334
O 0.0000 0.5000 0.0000
O 0.1778 0.3556 0.3051
O 0.1778 0.8222 0.3051
O 0.3556 0.1778 0.6949
O 0.5000 0.0000 0.0000
O 0.5000 0.5000 0.0000
O 0.6444 0.8222 0.3051
O 0.8222 0.1778 0.6949
O 0.8222 0.6444 0.6949

## Properties
Total energy = -6.01 eV per atom

=====

Respective size of the total moment values: 0.37; 0.00; 1.01 Bohr magnetons per cell.